[1]
Here is crystalline PuBiPtRh at its relaxed geometry from Alexandria. Energies are from PBE.

Structure (POSCAR):
```
PuBiPtRh
1.0
0.0000 3.4646 3.4646
3.4646 0.0000 3.4646
3.4646 3.4646 0.0000
Pu Bi Pt Rh
1 1 1 1
Direct
0.0000 0.0000 0.0000 Pu
0.5000 0.5000 0.5000 Bi
0.7500 0.7500 0.7500 Pt
0.2500 0.2500 0.2500 Rh
```

Values from the calculation:
Formation energy from the elements ... -34.06 kJ per mole of atoms
Size of the total moment ... 4.87 μB per cell
V ... 83 Å³/cell

***

[2]
Here is crystalline Ta5Rh at its relaxed geometry from Alexandria. Energies are from PBE.

Structure (POSCAR):
```
Ta5Rh
1.0
4.9816 0.0000 0.0000
-2.4908 4.3142 0.0000
0.0000 0.0000 4.9997
Ta Rh
5 1
Direct
0.0000 0.6685 0.0000 Ta
0.3315 0.3315 0.0000 Ta
0.3333 0.6667 0.5000 Ta
0.6667 0.3333 0.5000 Ta
0.6685 0.0000 0.0000 Ta
0.0000 0.0000 0.5000 Rh
```

Values from the calculation:
Formation energy from the elements ... 9.20 kJ per mole of atoms
ΔE to the lowest computed polymorph ... 324 meV per atom
Size of the total moment ... 0.00 μB per cell
V ... 107 Å³/cell

***

[3]
Here is crystalline Li3CrC at its relaxed geometry from Alexandria. Energies are from PBE.

Structure (POSCAR):
```
Li3CrC
1.0
3.8769 0.0000 0.0000
0.0000 3.8769 0.0000
0.0000 0.0000 3.8769
Li Cr C
3 1 1
Direct
0.0000 0.0000 0.5000 Li
0.0000 0.5000 0.0000 Li
0.5000 0.0000 0.0000 Li
0.5000 0.5000 0.5000 Cr
0.0000 0.0000 0.0000 C
```

Values from the calculation:
Formation energy from the elements ... 115.08 kJ per mole of atoms
ΔE to the lowest computed polymorph ... 0 meV per atom
Size of the total moment ... 0.00 μB per cell
V ... 58 Å³/cell

***

[4]
Here is crystalline P2IF at its relaxed geometry from Alexandria. Energies are from PBE.

Structure (POSCAR):
```
P2IF
1.0
-2.0940 2.0940 9.0296
2.0940 -2.0940 9.0296
2.0940 2.0940 -9.0296
P I F
4 2 2
Direct
0.0317 0.6250 0.9067 P
0.3750 0.2817 0.4067 P
0.7183 0.1250 0.0933 P
0.8750 0.9683 0.5933 P
0.2500 0.7500 0.5000 I
0.5000 0.5000 0.0000 I
0.0000 0.0000 0.0000 F
0.7500 0.2500 0.5000 F
```

Values from the calculation:
Raw formation energy ... 0.144 eV/atom
ΔE to the lowest computed polymorph ... 0 meV per atom
Size of the total moment ... 0.00 μB per cell
V ... 158 Å³/cell

***

[5]
Here is crystalline TbTiZn at its relaxed geometry from Alexandria. Energies are from PBE.

Structure (POSCAR):
```
TbTiZn
1.0
3.2266 0.0000 0.0000
-1.6133 2.7943 0.0000
0.0000 0.0000 14.3002
Tb Ti Zn
2 2 2
Direct
0.0000 0.0000 0.1796 Tb
0.0000 0.0000 0.8204 Tb
0.6667 0.3333 0.3532 Ti
0.6667 0.3333 0.6468 Ti
0.0000 0.0000 0.5000 Zn
0.6667 0.3333 0.0000 Zn
```

Values from the calculation:
Formation energy from the elements ... 17.16 kJ per mole of atoms
Size of the total moment ... 0.00 μB per cell
V ... 129 Å³/cell

***

[6]
Here is crystalline Nd2Ho3Os2 at its relaxed geometry from Alexandria. Energies are from PBE.

Structure (POSCAR):
```
Nd2Ho3Os2
1.0
6.0320 -1.9823 0.0000
6.0320 1.9823 0.0000
-3.5769 0.0000 7.8287
Nd Ho Os
2 3 2
Direct
0.1617 0.1617 0.3030 Nd
0.8383 0.8383 0.6970 Nd
0.3741 0.3741 0.0736 Ho
0.5000 0.5000 0.5000 Ho
0.6259 0.6259 0.9264 Ho
0.1748 0.1748 0.7232 Os
0.8252 0.8252 0.2768 Os
```

Values from the calculation:
Formation energy from the elements ... -18.81 kJ per mole of atoms
Size of the total moment ... 0.00 μB per cell
V ... 187 Å³/cell

***

[7]
Here is crystalline HoErPt at its relaxed geometry from Alexandria. Energies are from PBE.

Structure (POSCAR):
```
HoErPt
1.0
6.8329 0.0000 0.0000
0.0000 6.8319 0.0000
-0.0050 0.0000 6.8309
Ho Er Pt
4 4 4
Direct
0.0003 0.2500 0.0002 Ho
0.0003 0.2500 0.5002 Ho
0.9997 0.7500 0.9998 Ho
0.9997 0.7500 0.4998 Ho
0.5003 0.2500 0.0001 Er
0.5003 0.2500 0.5001 Er
0.4997 0.7500 0.9999 Er
0.4997 0.7500 0.4999 Er
0.2511 0.0000 0.2500 Pt
0.2511 0.5000 0.7500 Pt
0.7489 0.0000 0.7500 Pt
0.7489 0.5000 0.2500 Pt
```

Values from the calculation:
Formation energy from the elements ... -85.92 kJ per mole of atoms
ΔE to the lowest computed polymorph ... 10 meV per atom
Size of the total moment ... 0.00 μB per cell
V ... 319 Å³/cell

***

[8]
Here is crystalline Cd2IrRh at its relaxed geometry from Alexandria. Energies are from PBE.

Structure (POSCAR):
```
Cd2IrRh
1.0
1.4621 0.8441 9.1250
-1.4621 0.8441 9.1250
0.0000 -1.6883 9.1250
Cd Ir Rh
2 1 1
Direct
0.2493 0.2493 0.2493 Cd
0.7507 0.7507 0.7507 Cd
0.0000 0.0000 0.0000 Ir
0.5000 0.5000 0.5000 Rh
```

Values from the calculation:
Formation energy from the elements ... 12.94 kJ per mole of atoms
Size of the total moment ... 0.46 μB per cell
V ... 68 Å³/cell